Entry w
The following is a PBE calculation of a geometry-optimized LiNb3Co structure, from the Alexandria database.

a = 4.3295 Å, b = 4.3295 Å, c = 4.3295 Å
α = 90.00°, β = 90.00°, γ = 90.00°
Closest atoms and distances in Å follow each position.
Fractional positions:
Li 0.0000 0.0000 0.0000  6 Nb 2.16
Nb 0.0000 0.0000 0.5000  2 Li 2.16
Nb 0.0000 0.5000 0.0000  2 Li 2.16
Nb 0.5000 0.0000 0.0000  2 Li 2.16
Co 0.5000 0.5000 0.5000  12 Nb 3.06

Calculated values
- density (g/cm³) = 7.05
- magnetic moment (μB per atom) = 0.00

***

Entry x
The following is a PBE calculation of a geometry-optimized LiNb3Co structure, from the Alexandria database.

a = 4.6384 Å, b = 4.6384 Å, c = 4.6384 Å
α = 90.00°, β = 90.00°, γ = 90.00°
Closest atoms and distances in Å follow each position.
Fractional positions:
Li 0.0000 0.0000 0.0000  12 Nb 3.28
Nb 0.0000 0.5000 0.5000  2 Co 2.32
Nb 0.5000 0.0000 0.5000  2 Co 2.32
Nb 0.5000 0.5000 0.0000  2 Co 2.32
Co 0.5000 0.5000 0.5000  6 Nb 2.32

Calculated values
- density (g/cm³) = 5.73
- magnetic moment (μB per atom) = 0.00

***

Which structure is the least stable? The one labeled entry w.